# 1
Entry from the Alexandria database: a relaxed structure of HoMnSi2Mo (GGA-PBE).

Cell lengths 3.935, 3.935, 6.116 Å; angles 108.76, 108.76, 90.00 degrees
Each line ends with the local moment (μB).
Fractional coordinates of all 5 atoms:
1 Si 0.611 0.611 0.221  -0.03
2 Si 0.389 0.389 0.779  -0.03
3 Mo 0.250 0.750 0.500  -0.06
4 Mn 0.750 0.250 0.500  2.65
5 Ho 0.000 0.000 0.000  -0.12

Summary:
* E: -38.088 eV for the cell shown
* symmetry: No. 119

---

# 2
Entry from the Alexandria database: a relaxed structure of Hf2Tc2As (GGA-PBE).

Cell lengths 6.406, 6.406, 4.402 Å; angles 90.00, 90.00, 90.00 degrees
Fractional coordinates of all 10 atoms:
1 Hf 0.178 0.678 0.500
2 Hf 0.822 0.322 0.500
3 Hf 0.678 0.822 0.500
4 Hf 0.322 0.178 0.500
5 Tc 0.140 0.360 0.000
6 Tc 0.360 0.860 0.000
7 Tc 0.640 0.140 0.000
8 Tc 0.860 0.640 0.000
9 As 0.000 0.000 0.000
10 As 0.500 0.500 0.000

Summary:
* E: -92.958 eV for the cell shown
* energy of formation: -238 meV per atom
* symmetry: No. 127